Record 1
Below is crystalline Ni2HIBr at its relaxed geometry, with properties calculated at the PBE-GGA level.

The space group is P4/mmm (No. 123) and the conventional cell measures 4.6282, 4.6282 and 3.9572 Å, with angles of 90.00, 90.00 and 90.00 degrees. The inequivalent atoms are Ni at (0.0000, 0.5000, 0.0000), H at (0.0000, 0.0000, 0.0000), I at (0.0000, 0.0000, 0.5000) and Br at (0.5000, 0.5000, 0.5000).

***

Record 2
Below is crystalline NpHIBr at its relaxed geometry, with properties calculated at the PBE-GGA level.

The space group is Cm (No. 8) and the conventional cell measures 6.8462, 3.9529 and 8.1489 Å, with angles of 90.00, 106.37 and 90.00 degrees. The inequivalent atoms are Np at (0.0000, 0.0000, 0.0000), H at (0.3355, 0.0000, 0.0064), I at (0.2605, 0.5000, 0.2797) and Br at (0.0836, 0.5000, 0.7526).

***

Record 3
Below is crystalline HOsI2Br at its relaxed geometry, with properties calculated at the PBE-GGA level.

The space group is P4/mmm (No. 123) and the conventional cell measures 5.4625, 5.4625 and 3.4609 Å, with angles of 90.00, 90.00 and 90.00 degrees. The inequivalent atoms are H at (0.0000, 0.0000, 0.0000), Os at (0.0000, 0.0000, 0.5000), I at (0.0000, 0.5000, 0.0000) and Br at (0.5000, 0.5000, 0.5000).

***

| no. | uncorrected energy (Ry/atom) | calculated volume (Å³ per cell) | DOS at the Fermi energy (states/eV/f.u.) |
| --- | --- | --- | --- |
| 1 | -0.19542 | 84.8 | 7.03 |
| 2 | -0.42234 | 211.6 | 8.01 |
| 3 | -0.20015 | 103.3 | 6.67 |